(1)
Compound: Rb3ZnHg2F9
Source: the Alexandria database
Functional: PBE-GGA
Structure: optimized geometry

Uncorrected formation energy in eV/atom: -2.171
Size of the total moment in Bohr magnetons per cell: 0.0
E_tot in eV per atom: -3.61

a = 6.3084 Å, b = 6.3084 Å, c = 7.7566 Å
α = 90.00°, β = 90.00°, γ = 120.00°
With the nearest neighbours (Å) after each atom.
Fractional coordinates of all 15 atoms:
Rb 0.0000 0.0000 0.0000  12 F 3.15-3.19
Rb 0.3333 0.6667 0.6699  12 F 3.14-3.17
Rb 0.6667 0.3333 0.3301  12 F 3.14-3.17
Zn 0.0000 0.0000 0.5000  6 F 2.07
Hg 0.3333 0.6667 0.1837  6 F 2.31-2.33
Hg 0.6667 0.3333 0.8163  6 F 2.31-2.33
F 0.0000 0.5000 0.0000  2 Hg 2.31
F 0.1551 0.3102 0.3477  1 Zn 2.07
F 0.1551 0.8449 0.3477  1 Zn 2.07
F 0.3102 0.1551 0.6523  1 Zn 2.07
F 0.5000 0.0000 0.0000  2 Hg 2.31
F 0.5000 0.5000 0.0000  2 Hg 2.31
F 0.6898 0.8449 0.3477  1 Zn 2.07
F 0.8449 0.1551 0.6523  1 Zn 2.07
F 0.8449 0.6898 0.6523  1 Zn 2.07

(2)
Compound: Rb2ZnHgF6
Source: the Alexandria database
Functional: PBE-GGA
Structure: optimized geometry

Uncorrected formation energy in eV/atom: -2.268
Size of the total moment in Bohr magnetons per cell: 0.0
E_tot in eV per atom: -3.74
DOS at the Fermi energy in states/eV per atom: 0.00

a = 6.2169 Å, b = 6.2169 Å, c = 6.2169 Å
α = 60.00°, β = 60.00°, γ = 60.00°
With the nearest neighbours (Å) after each atom.
Fractional coordinates of all 10 atoms:
Rb 0.2500 0.2500 0.2500  12 F 3.11
Rb 0.7500 0.7500 0.7500  12 F 3.11
Zn 0.0000 0.0000 0.0000  6 F 2.06
Hg 0.5000 0.5000 0.5000  6 F 2.33
F 0.2349 0.2349 0.7651  1 Zn 2.06
F 0.2349 0.7651 0.2349  1 Zn 2.06
F 0.2349 0.7651 0.7651  1 Zn 2.06
F 0.7651 0.2349 0.2349  1 Zn 2.06
F 0.7651 0.2349 0.7651  1 Zn 2.06
F 0.7651 0.7651 0.2349  1 Zn 2.06

(3)
Compound: RbZnHgF6
Source: the Alexandria database
Functional: PBE-GGA
Structure: optimized geometry

Uncorrected formation energy in eV/atom: -1.914
Size of the total moment in Bohr magnetons per cell: 1.1
E_tot in eV per atom: -3.44
DOS at the Fermi energy in states/eV per atom: 0.56

a = 7.6347 Å, b = 7.6347 Å, c = 7.6347 Å
α = 119.69°, β = 118.09°, γ = 91.94°
With the nearest neighbours (Å) after each atom.
Fractional coordinates of all 18 atoms:
Rb 0.3407 0.0907 0.2500  10 F 3.20-3.35
Rb 0.6593 0.9093 0.7500  10 F 3.20-3.35
Zn 0.0000 0.0000 0.5000  6 F 1.96-2.01
Zn 0.0000 0.5000 0.0000  6 F 1.96-2.01
Hg 0.0000 0.5000 0.5000  6 F 2.23-2.27
Hg 0.5000 0.5000 0.0000  6 F 2.23-2.27
F 0.0374 0.7874 0.2500  2 Zn 1.96
F 0.0502 0.3869 0.2014  1 Zn 2.01, 1 Hg 2.23
F 0.0502 0.8488 0.6633  1 Zn 2.01, 1 Hg 2.23
F 0.3145 0.1512 0.7014  1 Zn 2.01, 1 Hg 2.23
F 0.3145 0.6131 0.1633  1 Zn 2.01, 1 Hg 2.23
F 0.3578 0.6078 0.7500  2 Hg 2.27
F 0.6422 0.3922 0.2500  2 Hg 2.27
F 0.6855 0.3869 0.8367  1 Zn 2.01, 1 Hg 2.23
F 0.6855 0.8488 0.2986  1 Zn 2.01, 1 Hg 2.23
F 0.9498 0.1512 0.3367  1 Zn 2.01, 1 Hg 2.23
F 0.9498 0.6131 0.7986  1 Zn 2.01, 1 Hg 2.23
F 0.9626 0.2126 0.7500  2 Zn 1.96

(4)
Compound: Rb2ZrHgF6
Source: the Alexandria database
Functional: PBE-GGA
Structure: optimized geometry

Uncorrected formation energy in eV/atom: -2.920
Size of the total moment in Bohr magnetons per cell: 0.0
E_tot in eV per atom: -5.12
DOS at the Fermi energy in states/eV per atom: 0.00

a = 7.0715 Å, b = 7.0715 Å, c = 7.0715 Å
α = 60.00°, β = 60.00°, γ = 60.00°
With the nearest neighbours (Å) after each atom.
Fractional coordinates of all 10 atoms:
Rb 0.2500 0.2500 0.2500  12 F 3.57
Rb 0.7500 0.7500 0.7500  12 F 3.57
Zr 0.0000 0.0000 0.0000  6 F 2.04
Hg 0.5000 0.5000 0.5000  6 F 2.96
F 0.2038 0.2038 0.7962  1 Zr 2.04
F 0.2038 0.7962 0.2038  1 Zr 2.04
F 0.2038 0.7962 0.7962  1 Zr 2.04
F 0.7962 0.2038 0.2038  1 Zr 2.04
F 0.7962 0.2038 0.7962  1 Zr 2.04
F 0.7962 0.7962 0.2038  1 Zr 2.04

(5)
Compound: ReHg2F2
Source: the Alexandria database
Functional: PBE-GGA
Structure: optimized geometry

Uncorrected formation energy in eV/atom: -0.003
Excess energy over the best structure of this formula in the dataset in meV/atom: 0
Size of the total moment in Bohr magnetons per cell: 2.9
E_tot in eV per atom: -3.36
DOS at the Fermi energy in states/eV per atom: 0.25

a = 7.1833 Å, b = 7.1833 Å, c = 7.1833 Å
α = 151.95°, β = 151.95°, γ = 40.09°
With the nearest neighbours (Å) after each atom.
Fractional coordinates of all 5 atoms:
Re 0.0000 0.0000 0.0000  8 Hg 3.00
Hg 0.3734 0.3734 0.0000  4 F 2.41
Hg 0.6266 0.6266 0.0000  4 F 2.41
F 0.2500 0.7500 0.5000  4 Hg 2.41, 4 F 2.46
F 0.7500 0.2500 0.5000  4 Hg 2.41, 4 F 2.46

(6)
Compound: ReHg2F
Source: the Alexandria database
Functional: PBE-GGA
Structure: optimized geometry

Uncorrected formation energy in eV/atom: 0.599
Excess energy over the best structure of this formula in the dataset in meV/atom: 29
Size of the total moment in Bohr magnetons per cell: 3.2
E_tot in eV per atom: -3.13
DOS at the Fermi energy in states/eV per atom: 0.56

a = 4.7206 Å, b = 4.7206 Å, c = 4.7206 Å
α = 60.00°, β = 60.00°, γ = 60.00°
With the nearest neighbours (Å) after each atom.
Fractional coordinates of all 4 atoms:
Re 0.0000 0.0000 0.0000  8 Hg 2.89
Hg 0.2500 0.2500 0.2500  4 F 2.89, 4 Re 2.89
Hg 0.7500 0.7500 0.7500  4 F 2.89, 4 Re 2.89
F 0.5000 0.5000 0.5000  8 Hg 2.89

(7)
Compound: ReHgF2
Source: the Alexandria database
Functional: PBE-GGA
Structure: optimized geometry

Uncorrected formation energy in eV/atom: -0.144
Excess energy over the best structure of this formula in the dataset in meV/atom: 861
Size of the total moment in Bohr magnetons per cell: 5.4
E_tot in eV per atom: -4.27
DOS at the Fermi energy in states/eV per atom: 0.82

a = 8.0481 Å, b = 8.0481 Å, c = 8.0481 Å
α = 149.58°, β = 149.58°, γ = 43.56°
With the nearest neighbours (Å) after each atom.
Fractional coordinates of all 8 atoms:
Re 0.0000 0.0000 0.0000  4 F 2.20
Re 0.7500 0.2500 0.5000  4 F 2.20
Hg 0.2500 0.7500 0.5000  4 F 2.71, 4 Re 2.99
Hg 0.5000 0.5000 0.0000  4 F 2.71, 4 Re 2.99
F 0.3750 0.2348 0.3598  2 Re 2.20, 2 F 2.31
F 0.7652 0.1250 0.1402  2 Re 2.20, 2 F 2.31
F 0.8750 0.0152 0.6402  2 Re 2.20, 2 F 2.31
F 0.9848 0.6250 0.8598  2 Re 2.20, 2 F 2.31

(8)
Compound: ReHg3F
Source: the Alexandria database
Functional: PBE-GGA
Structure: optimized geometry

Uncorrected formation energy in eV/atom: 0.883
Excess energy over the best structure of this formula in the dataset in meV/atom: 270
Size of the total moment in Bohr magnetons per cell: 1.8
E_tot in eV per atom: -2.16
DOS at the Fermi energy in states/eV per atom: 0.68

a = 4.6859 Å, b = 4.6859 Å, c = 4.6859 Å
α = 90.00°, β = 90.00°, γ = 90.00°
With the nearest neighbours (Å) after each atom.
Fractional coordinates of all 5 atoms:
Re 0.0000 0.0000 0.0000  12 Hg 3.31
Hg 0.0000 0.5000 0.5000  2 F 2.34
Hg 0.5000 0.0000 0.5000  2 F 2.34
Hg 0.5000 0.5000 0.0000  2 F 2.34
F 0.5000 0.5000 0.5000  6 Hg 2.34